Entry 1
The following is a DFT calculation (PBE) of crystalline MnZn2Tc at its relaxed geometry.

```
data_MnZn2Tc
_space_group_name_H-M_alt 'P 1'
_space_group_IT_number 1
_cell_length_a 2.639
_cell_length_b 2.639
_cell_length_c 8.361
_cell_angle_alpha 90.00
_cell_angle_beta 90.00
_cell_angle_gamma 105.71
loop_
_space_group_symop_operation_xyz
'x,y,z'
loop_
_atom_site_label
_atom_site_type_symbol
_atom_site_fract_x
_atom_site_fract_y
_atom_site_fract_z
Mn1 Mn 0.000 0.000 0.000
Zn1 Zn 0.000 0.000 0.507
Zn2 Zn 0.500 0.500 0.242
Tc1 Tc 0.500 0.500 0.768
```

Entry 2
The following is a DFT calculation (PBE) of crystalline MnZn2Tc at its relaxed geometry.

```
data_MnZn2Tc
_space_group_name_H-M_alt 'P 1'
_space_group_IT_number 1
_cell_length_a 2.716
_cell_length_b 2.716
_cell_length_c 9.013
_cell_angle_alpha 98.74
_cell_angle_beta 98.74
_cell_angle_gamma 59.91
loop_
_space_group_symop_operation_xyz
'x,y,z'
loop_
_atom_site_label
_atom_site_type_symbol
_atom_site_fract_x
_atom_site_fract_y
_atom_site_fract_z
Mn1 Mn 0.000 0.000 0.000
Zn1 Zn 0.415 0.415 0.246
Zn2 Zn 0.585 0.585 0.754
Tc1 Tc 0.833 0.833 0.500
```

Which structure loses on stability? entry 2 does.

Entry 1
The following is a DFT calculation (PBE) of crystalline CeGe2Rh4 at its relaxed geometry.

```
data_CeGe2Rh4
_space_group_name_H-M_alt 'P 1'
_space_group_IT_number 1
_cell_length_a 4.010
_cell_length_b 4.010
_cell_length_c 8.003
_cell_angle_alpha 94.23
_cell_angle_beta 94.23
_cell_angle_gamma 87.14
loop_
_space_group_symop_operation_xyz
'x,y,z'
loop_
_atom_site_label
_atom_site_type_symbol
_atom_site_fract_x
_atom_site_fract_y
_atom_site_fract_z
Ce1 Ce 0.000 0.000 0.000
Ge1 Ge 0.288 0.288 0.691
Ge2 Ge 0.712 0.712 0.309
Rh1 Rh 0.245 0.755 0.500
Rh2 Rh 0.251 0.251 0.237
Rh3 Rh 0.749 0.749 0.763
Rh4 Rh 0.755 0.245 0.500
```

Entry 2
The following is a DFT calculation (PBE) of crystalline CeGe2Rh4 at its relaxed geometry.

```
data_CeGe2Rh4
_space_group_name_H-M_alt 'P 1'
_space_group_IT_number 1
_cell_length_a 7.760
_cell_length_b 7.760
_cell_length_c 3.898
_cell_angle_alpha 90.00
_cell_angle_beta 90.00
_cell_angle_gamma 90.00
loop_
_space_group_symop_operation_xyz
'x,y,z'
loop_
_atom_site_label
_atom_site_type_symbol
_atom_site_fract_x
_atom_site_fract_y
_atom_site_fract_z
Ce1 Ce 0.000 0.000 0.000
Ce2 Ce 0.500 0.500 0.500
Ge1 Ge 0.226 0.226 0.500
Ge2 Ge 0.274 0.726 0.000
Ge3 Ge 0.726 0.274 0.000
Ge4 Ge 0.774 0.774 0.500
Rh1 Rh 0.077 0.664 0.500
Rh2 Rh 0.164 0.423 0.000
Rh3 Rh 0.336 0.923 0.500
Rh4 Rh 0.423 0.164 0.000
Rh5 Rh 0.577 0.836 0.000
Rh6 Rh 0.664 0.077 0.500
Rh7 Rh 0.836 0.577 0.000
Rh8 Rh 0.923 0.336 0.500
```

Which structure loses on stability? entry 1 does.